Computed, not measured: an optimized crystal structure of Li2In4Ag5 at the PBE level of DFT.

a = 4.510 Å, b = 5.758 Å, c = 10.300 Å
α = 106.23°, β = 102.65°, γ = 90.00°
Positions (direct):
In (0.276, 0.276, 0.551)
In (0.724, 0.724, 0.449)
In (0.000, 0.741, 0.000)
In (0.000, 0.259, 0.000)
Li (0.425, 0.425, 0.849)
Li (0.575, 0.575, 0.151)
Ag (0.149, 0.897, 0.299)
Ag (0.851, 0.103, 0.701)
Ag (0.500, 0.000, 0.000)
Ag (0.149, 0.402, 0.299)
Ag (0.851, 0.598, 0.701)

## Properties
N(E_F): 4.4 states/eV per cell
Final energy: -2.62 eV per atom
Magnetic moment: 0.00 μB/cell
Energy relative to the lowest polymorph listed for this composition: 11.27 kJ/mol of atoms
Theoretical density: 6.7 g/cm³